# ZnCu2

ZnCu2 after structural relaxation (GGA-PBEsol, Alexandria via LeMat-Bulk).

abc: 3.637 3.637 11.130
angles: 99.40 99.40 90.00
Element x y z (fractional)
Cu: 0.749 0.749 0.499
Cu: 0.251 0.251 0.501
Cu: 0.999 0.499 0.999
Cu: 0.501 0.001 0.001
Cu: 0.583 0.583 0.166
Cu: 0.417 0.417 0.834
Cu: 0.833 0.333 0.666
Cu: 0.667 0.167 0.334
Zn: 0.918 0.918 0.836
Zn: 0.082 0.082 0.164
Zn: 0.168 0.668 0.336
Zn: 0.332 0.832 0.664

Results
Space-group type: I4_1/amd

***

# ZnCu3

ZnCu3 after structural relaxation (GGA-PBEsol, Alexandria via LeMat-Bulk).

abc: 2.881 2.881 5.684
angles: 90.00 90.00 90.00
Element x y z (fractional)
Zn: 0.500 0.500 0.500
Cu: 0.000 0.000 0.756
Cu: 0.500 0.500 0.000
Cu: 0.000 0.000 0.244

Results
Space-group type: P4/mmm

***

# Zn2Cu

Zn2Cu after structural relaxation (GGA-PBEsol, Alexandria via LeMat-Bulk).

abc: 2.647 2.647 6.523
angles: 78.53 78.53 59.87
Element x y z (fractional)
Zn: 0.226 0.226 0.323
Zn: 0.440 0.440 0.677
Cu: 0.001 0.001 0.999

Results
Space-group type: Cm

***

no.,energy relative to the elements (eV/atom)
1,-0.080
2,-0.035
3,-0.052